Entry 1:
Material: Ta4PdRh7
Method: DFT, GGA-PBE
State: optimized geometry

Values from the calculation:
- Crystal system: monoclinic
- Space-group type: No. 12

Cell and atoms, written as extended XYZ:
```
12
Lattice="4.703 0.000 0.000 2.352 8.159 0.080 2.352 0.429 5.295" Properties=species:S:1:pos:R:3 pbc="T T T"
Ta 4.703 6.499 2.169
Rh 2.352 0.000 0.000
Ta 4.703 2.090 3.207
Rh 4.703 3.854 1.435
Pd 0.000 0.000 0.000
Rh 7.055 7.621 2.800
Rh 2.352 5.482 1.065
Rh 2.352 0.967 2.575
Rh 7.055 3.106 4.310
Rh 4.703 4.734 3.940
Ta 7.055 5.832 4.529
Ta 2.352 2.756 0.846
```



Entry 2:
Material: Ta5PdRh4
Method: DFT, GGA-PBE
State: optimized geometry

Values from the calculation:
- Crystal system: tetragonal
- Space-group type: No. 123

Cell and atoms, written as extended XYZ:
```
10
Lattice="-2.392 -0.223 1.559 -0.764 -2.315 -1.504 9.412 -11.426 12.806" Properties=species:S:1:pos:R:3 pbc="T T T"
Ta 3.128 -6.982 6.431
Rh 7.504 -9.109 10.210
Rh 3.781 -4.590 5.144
Ta 1.267 -4.723 3.899
Ta 4.988 -9.241 8.962
Rh 1.908 -2.316 2.596
Rh 5.631 -6.836 7.662
Ta 6.842 -11.491 11.484
Ta -0.587 -2.473 1.377
Pd 0.000 0.000 0.000
```



no.,total moment (μB per atom),ΔE_f (eV per atom)
1,0.0001,-0.084
2,0.0000,-0.428